(1)
Computed, not measured: a geometry-optimized Li2HoAs2Pt2 structure at the GGA-PBE level of DFT.

uncorrected energy: -5.15 eV/atom
density of states at the Fermi level: 2.09 states/eV per cell
calculated volume: 17.320 A^3/atom
formation energy from the elements: -897 meV/atom
symmetry: R-3m, No. 166

Cell: 4.260 4.260 8.097 Å, 74.75 74.75 60.00°
Fractional positions:
As  0.745  0.745  0.766
As  0.255  0.255  0.234
Li  0.858  0.858  0.425
Li  0.142  0.142  0.575
Pt  0.423  0.423  0.730
Pt  0.577  0.577  0.270
Ho  0.000  0.000  0.000

***

(2)
Computed, not measured: a geometry-optimized LiHoAsRh structure at the GGA-PBE level of DFT.

uncorrected energy: -5.42 eV/atom
density of states at the Fermi level: 0.89 states/eV per cell
calculated volume: 16.517 A^3/atom
formation energy from the elements: -793 meV/atom
symmetry: F-43m, No. 216

Cell: 4.538 4.538 4.538 Å, 60.00 60.00 60.00°
Fractional positions:
Ho  0.000  0.000  0.000
As  0.500  0.500  0.500
Li  0.250  0.250  0.250
Rh  0.750  0.750  0.750

***

(3)
Computed, not measured: a geometry-optimized LiHoAsS4 structure at the GGA-PBE level of DFT.

ΔE_f (raw): -0.920 eV per atom
uncorrected energy: -4.87 eV/atom
density of states at the Fermi level: 3.79 states/eV per cell
calculated volume: 22.304 A^3/atom
symmetry: Imma, No. 74

Cell: 7.605 7.586 7.586 Å, 61.41 59.92 59.92°
Fractional positions:
S  0.744  0.756  0.757
S  0.745  0.758  0.258
S  0.761  0.242  0.742
S  0.239  0.758  0.258
S  0.256  0.244  0.243
S  0.255  0.242  0.742
S  0.744  0.257  0.256
S  0.256  0.743  0.744
Li  0.000  0.000  0.500
Li  0.500  0.000  0.500
Ho  0.000  0.500  0.500
Ho  0.000  0.000  0.000
As  0.368  0.382  0.882
As  0.632  0.618  0.118

***

(4)
Computed, not measured: a geometry-optimized Li2HoAsS4 structure at the GGA-PBE level of DFT.

ΔE_f (raw): -1.189 eV per atom
uncorrected energy: -4.88 eV/atom
density of states at the Fermi level: 0.00 states/eV per cell
calculated volume: 19.217 A^3/atom
symmetry: P2/m, No. 10

Cell: 3.799 6.593 6.516 Å, 109.62 90.00 90.00°
Fractional positions:
As  0.000  0.000  0.000
S  0.000  0.240  0.752
S  0.000  0.760  0.248
S  0.500  0.236  0.243
S  0.500  0.764  0.757
Li  0.500  0.000  0.500
Li  0.000  0.500  0.500
Ho  0.500  0.500  0.000

***

(5)
Computed, not measured: a geometry-optimized Li2HoAsSe4 structure at the GGA-PBE level of DFT.

ΔE_f (raw): -1.097 eV per atom
uncorrected energy: -4.47 eV/atom
calculated volume: 22.044 A^3/atom
symmetry: P2/m, No. 10

Cell: 3.969 6.839 6.891 Å, 70.55 90.00 90.00°
Fractional positions:
Li  0.000  0.000  0.000
Li  0.500  0.000  0.500
As  0.500  0.500  0.000
Ho  0.000  0.500  0.500
Se  0.000  0.745  0.764
Se  0.500  0.750  0.239
Se  0.500  0.250  0.761
Se  0.000  0.255  0.236

***

(6)
Computed, not measured: a geometry-optimized LiHoU2As4 structure at the GGA-PBE level of DFT.

uncorrected energy: -6.79 eV/atom
density of states at the Fermi level: 12.42 states/eV per cell
calculated volume: 23.825 A^3/atom
formation energy from the elements: -835 meV/atom
symmetry: P2/m, No. 10

Cell: 4.080 7.042 7.036 Å, 109.46 90.00 90.00°
Last column: magnetic moment on the atom in μB.
Fractional positions:
U  0.500  0.000  0.500  1.82
U  0.000  0.500  0.500  2.04
Ho  0.000  0.000  0.000  0.02
As  0.000  0.753  0.258  -0.08
As  0.000  0.247  0.742  -0.08
As  0.500  0.252  0.252  -0.06
As  0.500  0.748  0.748  -0.06
Li  0.500  0.500  0.000  -0.01

***

(7)
Computed, not measured: a geometry-optimized LiHo2UAs4 structure at the GGA-PBE level of DFT.

uncorrected energy: -6.12 eV/atom
density of states at the Fermi level: 4.99 states/eV per cell
calculated volume: 23.631 A^3/atom
formation energy from the elements: -999 meV/atom
symmetry: P2/m, No. 10

Cell: 4.085 6.923 7.047 Å, 108.45 90.00 90.00°
Last column: magnetic moment on the atom in μB.
Fractional positions:
As  0.500  0.249  0.243  -0.04
As  0.500  0.751  0.757  -0.04
As  0.000  0.242  0.758  -0.06
As  0.000  0.758  0.242  -0.06
Ho  0.500  0.000  0.500  -0.04
Ho  0.000  0.500  0.500  0.00
Li  0.500  0.500  0.000  0.00
U  0.000  0.000  0.000  1.23

***

(8)
Computed, not measured: a geometry-optimized Ho2LuAs structure at the GGA-PBE level of DFT.

uncorrected energy: -5.15 eV/atom
density of states at the Fermi level: 4.65 states/eV per cell
calculated volume: 29.358 A^3/atom
formation energy from the elements: -564 meV/atom
symmetry: R-3m, No. 166

Cell: 3.818 3.818 9.561 Å, 78.48 78.48 60.00°
Last column: magnetic moment on the atom in μB.
Fractional positions:
Ho  0.729  0.729  0.813  -0.11
Ho  0.271  0.271  0.187  -0.11
As  0.000  0.000  0.000  -0.01
Lu  0.500  0.500  0.500  -0.32